Record 1
TiAgB: optimized geometry, GGA-PBE.

Cell: 7.0642 4.6193 3.0282 Å, 90.00 64.60 77.73°
Sites, in units of the cell vectors:
1 Ti 0.8205 0.3270 0.2587
2 Ti 0.2712 0.1728 0.3085
3 Ag 0.9943 0.7572 0.5849
4 Ag 0.3930 0.6393 0.6867
5 B 0.5413 0.0838 0.5382
6 B 0.6489 0.0978 0.9304

Computed properties:
Calculated formation energy = 36 meV/atom


Record 2
TiAgB: optimized geometry, GGA-PBE.

Cell: 4.4763 5.6229 4.4763 Å, 61.03 77.18 61.03°
Sites, in units of the cell vectors:
1 Ag 0.8662 0.6796 0.7475
2 Ag 0.3309 0.6797 0.2122
3 Ti 0.0514 0.1804 0.4328
4 Ti 0.6455 0.1789 0.0270
5 B 0.5008 0.1796 0.5776
6 B 0.1963 0.1796 0.8821

Computed properties:
Calculated formation energy = 4 meV/atom


Number 1: total magnetization 0.00 μB/f.u.. Number 2: total magnetization 0.00 μB/f.u..